Entry 1:
# Ti2GeRh4 | the Alexandria database | PBE | relaxed
# formation energy = -0.626 eV/atom
# crystal system = trigonal
data_Ti2GeRh4
_symmetry_space_group_name_H-M 'R -3 m'
_symmetry_Int_Tables_number 166
_symmetry_space_group_name_Hall '-R 3 2"'
_cell_length_a 4.2374
_cell_length_b 4.2374
_cell_length_c 20.8302
_cell_angle_alpha 90.00
_cell_angle_beta 90.00
_cell_angle_gamma 120.00
loop_
_atom_site_label
_atom_site_type_symbol
_atom_site_fract_x
_atom_site_fract_y
_atom_site_fract_z
_atom_site_occupancy
Ti1 Ti 0.0000 0.0000 0.2460 1
Ge1 Ge 0.0000 0.0000 0.0000 1
Rh1 Rh 0.0000 0.0000 0.1267 1
Rh2 Rh 0.0000 0.0000 0.3758 1

=====

Entry 2:
# Ti5Ge5Rh | the Alexandria database | PBE | relaxed
# formation energy = -0.208 eV/atom
# crystal system = monoclinic
data_Ti5Ge5Rh
_symmetry_space_group_name_H-M 'C 1 2/m 1'
_symmetry_Int_Tables_number 12
_cell_length_a 9.9473
_cell_length_b 5.1682
_cell_length_c 8.4138
_cell_angle_alpha 90.00
_cell_angle_beta 115.94
_cell_angle_gamma 90.00
loop_
_symmetry_equiv_pos_as_xyz
'x,y,z'
'-x,-y,-z'
'-x,y,-z'
'x,-y,z'
'x+1/2,y+1/2,z'
'-x+1/2,-y+1/2,-z'
'-x+1/2,y+1/2,-z'
'x+1/2,-y+1/2,z'
loop_
_atom_site_label
_atom_site_type_symbol
_atom_site_fract_x
_atom_site_fract_y
_atom_site_fract_z
_atom_site_occupancy
Ti1 Ti 0.0000 0.0000 0.0000 1
Ti2 Ti 0.1581 0.5000 0.3142 1
Ti3 Ti 0.1695 0.5000 0.8475 1
Ge1 Ge 0.0000 0.5000 0.5000 1
Ge2 Ge 0.1551 0.0000 0.8244 1
Ge3 Ge 0.1712 0.0000 0.3422 1
Rh1 Rh 0.0000 0.0000 0.5000 1

=====

Entry 3:
# Ti4GeRh | the Alexandria database | PBE | relaxed
# formation energy = -0.163 eV/atom
# crystal system = monoclinic
data_Ti4GeRh
_symmetry_space_group_name_H-M 'P 1 21/c 1'
_symmetry_Int_Tables_number 14
_cell_length_a 6.4723
_cell_length_b 6.6432
_cell_length_c 5.2816
_cell_angle_alpha 90.00
_cell_angle_beta 91.17
_cell_angle_gamma 90.00
loop_
_symmetry_equiv_pos_as_xyz
'x,y,z'
'-x,-y,-z'
'-x,y+1/2,-z+1/2'
'x,-y+1/2,z+1/2'
loop_
_atom_site_label
_atom_site_type_symbol
_atom_site_fract_x
_atom_site_fract_y
_atom_site_fract_z
_atom_site_occupancy
Ti1 Ti 0.1360 0.1481 0.4477 1
Ti2 Ti 0.2650 0.7175 0.2943 1
Ge1 Ge 0.5000 0.0000 0.5000 1
Rh1 Rh 0.0000 0.0000 0.0000 1

=====

Entry 4:
# Ti2Ge2Rh7 | the Alexandria database | PBE | relaxed
# formation energy = -0.259 eV/atom
# crystal system = monoclinic
data_Ti2Ge2Rh7
_symmetry_space_group_name_H-M 'C 1 2/m 1'
_symmetry_Int_Tables_number 12
_cell_length_a 8.7408
_cell_length_b 7.7478
_cell_length_c 5.3518
_cell_angle_alpha 90.00
_cell_angle_beta 100.55
_cell_angle_gamma 90.00
loop_
_symmetry_equiv_pos_as_xyz
'x,y,z'
'-x,-y,-z'
'-x,y,-z'
'x,-y,z'
'x+1/2,y+1/2,z'
'-x+1/2,-y+1/2,-z'
'-x+1/2,y+1/2,-z'
'x+1/2,-y+1/2,z'
loop_
_atom_site_label
_atom_site_type_symbol
_atom_site_fract_x
_atom_site_fract_y
_atom_site_fract_z
_atom_site_occupancy
Ti1 Ti 0.2407 0.0000 0.3481 1
Ge1 Ge 0.0000 0.2328 0.0000 1
Rh1 Rh 0.0000 0.0000 0.5000 1
Rh2 Rh 0.0242 0.5000 0.2637 1
Rh3 Rh 0.2155 0.2055 0.7507 1

=====

Entry 5:
# Ti2Ge2Rh | the Alexandria database | PBE | relaxed
# formation energy = -0.675 eV/atom
# crystal system = tetragonal
data_Ti2Ge2Rh
_symmetry_space_group_name_H-M 'P 4/m b m'
_symmetry_Int_Tables_number 127
_symmetry_space_group_name_Hall '-P 4 2ab'
_cell_length_a 6.3500
_cell_length_b 6.3500
_cell_length_c 3.9081
_cell_angle_alpha 90.00
_cell_angle_beta 90.00
_cell_angle_gamma 90.00
loop_
_atom_site_label
_atom_site_type_symbol
_atom_site_fract_x
_atom_site_fract_y
_atom_site_fract_z
_atom_site_occupancy
Ti1 Ti 0.1627 0.3373 0.0000 1
Ge1 Ge 0.1405 0.6405 0.5000 1
Rh1 Rh 0.0000 0.0000 0.5000 1

=====

Entry 6:
# Ti2GeRh2 | the Alexandria database | PBE | relaxed
# formation energy = -0.452 eV/atom
# crystal system = tetragonal
# distance to the lowest polymorph of the same formula = 160 meV per atom
data_Ti2GeRh2
_symmetry_space_group_name_H-M 'P 4/m b m'
_symmetry_Int_Tables_number 127
_symmetry_space_group_name_Hall '-P 4 2ab'
_cell_length_a 7.4116
_cell_length_b 7.4116
_cell_length_c 2.9363
_cell_angle_alpha 90.00
_cell_angle_beta 90.00
_cell_angle_gamma 90.00
loop_
_atom_site_label
_atom_site_type_symbol
_atom_site_fract_x
_atom_site_fract_y
_atom_site_fract_z
_atom_site_occupancy
Ti1 Ti 0.1576 0.3424 0.0000 1
Ge1 Ge 0.0000 0.0000 0.0000 1
Rh1 Rh 0.1363 0.6363 0.5000 1

=====

Entry 7:
# Ti12Ge6Rh | the Alexandria database | PBE | relaxed
# formation energy = -0.281 eV/atom
# crystal system = trigonal
data_Ti12Ge6Rh
_symmetry_space_group_name_H-M 'R -3'
_symmetry_Int_Tables_number 148
_symmetry_space_group_name_Hall '-R 3'
_cell_length_a 11.7745
_cell_length_b 11.7745
_cell_length_c 8.2427
_cell_angle_alpha 90.00
_cell_angle_beta 90.00
_cell_angle_gamma 120.00
loop_
_atom_site_label
_atom_site_type_symbol
_atom_site_fract_x
_atom_site_fract_y
_atom_site_fract_z
_atom_site_occupancy
Ti1 Ti 0.0488 0.2294 0.4037 1
Ti2 Ti 0.0552 0.2345 0.7633 1
Ge1 Ge 0.0679 0.2461 0.0909 1
Rh1 Rh 0.0000 0.0000 0.5000 1

=====

Entry 8:
# Ti3Ge2Rh | the Alexandria database | PBE | relaxed
# formation energy = -0.701 eV/atom
# crystal system = orthorhombic
data_Ti3Ge2Rh
_symmetry_space_group_name_H-M 'I m m m'
_symmetry_Int_Tables_number 71
_symmetry_space_group_name_Hall '-I 2 2'
_cell_length_a 3.5502
_cell_length_b 3.8821
_cell_length_c 13.8693
_cell_angle_alpha 90.00
_cell_angle_beta 90.00
_cell_angle_gamma 90.00
loop_
_atom_site_label
_atom_site_type_symbol
_atom_site_fract_x
_atom_site_fract_y
_atom_site_fract_z
_atom_site_occupancy
Ti1 Ti 0.0000 0.0000 0.0000 1
Ti2 Ti 0.0000 0.5000 0.3270 1
Ge1 Ge 0.0000 0.5000 0.1388 1
Rh1 Rh 0.0000 0.0000 0.5000 1

=====

Entry 9:
# TiGe2Rh8 | the Alexandria database | PBE | relaxed
# formation energy = -0.375 eV/atom
# crystal system = monoclinic
data_TiGe2Rh8
_symmetry_space_group_name_H-M 'C 1 2/m 1'
_symmetry_Int_Tables_number 12
_cell_length_a 13.5677
_cell_length_b 3.9472
_cell_length_c 6.2540
_cell_angle_alpha 90.00
_cell_angle_beta 108.83
_cell_angle_gamma 90.00
loop_
_symmetry_equiv_pos_as_xyz
'x,y,z'
'-x,-y,-z'
'-x,y,-z'
'x,-y,z'
'x+1/2,y+1/2,z'
'-x+1/2,-y+1/2,-z'
'-x+1/2,y+1/2,-z'
'x+1/2,-y+1/2,z'
loop_
_atom_site_label
_atom_site_type_symbol
_atom_site_fract_x
_atom_site_fract_y
_atom_site_fract_z
_atom_site_occupancy
Ti1 Ti 0.0000 0.0000 0.0000 1
Ge1 Ge 0.2222 0.5000 0.6665 1
Rh1 Rh 0.0391 0.5000 0.7204 1
Rh2 Rh 0.1103 0.0000 0.4641 1
Rh3 Rh 0.1373 0.5000 0.1838 1
Rh4 Rh 0.1767 0.0000 0.9244 1

=====

Entry 10:
# Ti8Ge2Rh | the Alexandria database | PBE | relaxed
# formation energy = -0.399 eV/atom
# crystal system = monoclinic
data_Ti8Ge2Rh
_symmetry_space_group_name_H-M 'C 1 2/m 1'
_symmetry_Int_Tables_number 12
_cell_length_a 14.7926
_cell_length_b 3.9496
_cell_length_c 6.7835
_cell_angle_alpha 90.00
_cell_angle_beta 113.69
_cell_angle_gamma 90.00
loop_
_symmetry_equiv_pos_as_xyz
'x,y,z'
'-x,-y,-z'
'-x,y,-z'
'x,-y,z'
'x+1/2,y+1/2,z'
'-x+1/2,-y+1/2,-z'
'-x+1/2,y+1/2,-z'
'x+1/2,-y+1/2,z'
loop_
_atom_site_label
_atom_site_type_symbol
_atom_site_fract_x
_atom_site_fract_y
_atom_site_fract_z
_atom_site_occupancy
Ti1 Ti 0.0361 0.0000 0.2995 1
Ti2 Ti 0.0832 0.5000 0.9529 1
Ti3 Ti 0.1743 0.5000 0.4213 1
Ti4 Ti 0.1772 0.0000 0.7673 1
Ge1 Ge 0.1933 0.0000 0.1719 1
Rh1 Rh 0.0000 0.5000 0.5000 1

=====

Entry 11:
# TiGe3Rh2 | the Alexandria database | PBE | relaxed
# formation energy = -0.466 eV/atom
# crystal system = orthorhombic
data_TiGe3Rh2
_symmetry_space_group_name_H-M 'P m c 21'
_symmetry_Int_Tables_number 26
_cell_length_a 3.7788
_cell_length_b 9.5328
_cell_length_c 5.3999
_cell_angle_alpha 90.00
_cell_angle_beta 90.00
_cell_angle_gamma 90.00
loop_
_symmetry_equiv_pos_as_xyz
'x,y,z'
'-x,-y,z+1/2'
'-x,y,z'
'x,-y,z+1/2'
loop_
_atom_site_label
_atom_site_type_symbol
_atom_site_fract_x
_atom_site_fract_y
_atom_site_fract_z
_atom_site_occupancy
Ti1 Ti 0.0000 0.1096 0.0000 1
Ge1 Ge 0.0000 0.4002 0.8388 1
Ge2 Ge 0.5000 0.0674 0.6380 1
Ge3 Ge 0.5000 0.2808 0.2035 1
Rh1 Rh 0.0000 0.2137 0.5163 1
Rh2 Rh 0.5000 0.4637 0.5296 1

=====

Entry 12:
# Ti3GeRh6 | the Alexandria database | PBE | relaxed
# formation energy = -0.500 eV/atom
# crystal system = trigonal
data_Ti3GeRh6
_symmetry_space_group_name_H-M 'R -3 m'
_symmetry_Int_Tables_number 166
_symmetry_space_group_name_Hall '-R 3 2"'
_cell_length_a 10.7872
_cell_length_b 10.7872
_cell_length_c 8.9301
_cell_angle_alpha 90.00
_cell_angle_beta 90.00
_cell_angle_gamma 120.00
loop_
_atom_site_label
_atom_site_type_symbol
_atom_site_fract_x
_atom_site_fract_y
_atom_site_fract_z
_atom_site_occupancy
Ti1 Ti 0.0931 0.1861 0.2474 1
Ge1 Ge 0.0000 0.0000 0.0000 1
Ge2 Ge 0.0000 0.0000 0.5000 1
Rh1 Rh 0.0000 0.2596 0.5000 1
Rh2 Rh 0.0686 0.5343 0.6196 1

=====

Entry 13:
# Ti3GeRh4 | the Alexandria database | PBE | relaxed
# formation energy = -0.733 eV/atom
# crystal system = orthorhombic
data_Ti3GeRh4
_symmetry_space_group_name_H-M 'P m m a'
_symmetry_Int_Tables_number 51
_cell_length_a 8.9172
_cell_length_b 5.7562
_cell_length_c 4.5994
_cell_angle_alpha 90.00
_cell_angle_beta 90.00
_cell_angle_gamma 90.00
loop_
_symmetry_equiv_pos_as_xyz
'x,y,z'
'-x,-y,-z'
'-x+1/2,-y,z'
'x+1/2,y,-z'
'x+1/2,-y,-z'
'-x+1/2,y,z'
'-x,y,-z'
'x,-y,z'
loop_
_atom_site_label
_atom_site_type_symbol
_atom_site_fract_x
_atom_site_fract_y
_atom_site_fract_z
_atom_site_occupancy
Ti1 Ti 0.0000 0.0000 0.0000 1
Ti2 Ti 0.2500 0.0000 0.4401 1
Ti3 Ti 0.2500 0.5000 0.4131 1
Ge1 Ge 0.0000 0.5000 0.0000 1
Rh1 Rh 0.0000 0.2477 0.5000 1
Rh2 Rh 0.2500 0.2525 0.9135 1

=====

Entry 14:
# Ti2GeRh2 | the Alexandria database | PBE | relaxed
# formation energy = -0.612 eV/atom
# crystal system = tetragonal
# distance to the lowest polymorph of the same formula = 0 meV per atom
data_Ti2GeRh2
_symmetry_space_group_name_H-M 'P 4/m b m'
_symmetry_Int_Tables_number 127
_symmetry_space_group_name_Hall '-P 4 2ab'
_cell_length_a 7.2611
_cell_length_b 7.2611
_cell_length_c 2.9805
_cell_angle_alpha 90.00
_cell_angle_beta 90.00
_cell_angle_gamma 90.00
loop_
_atom_site_label
_atom_site_type_symbol
_atom_site_fract_x
_atom_site_fract_y
_atom_site_fract_z
_atom_site_occupancy
Ti1 Ti 0.1664 0.3336 0.0000 1
Ge1 Ge 0.0000 0.0000 0.5000 1
Rh1 Rh 0.1330 0.6330 0.5000 1

=====

Entry 15:
# Ti2GeRh2 | the Alexandria database | PBE | relaxed
# formation energy = -0.588 eV/atom
# crystal system = monoclinic
# distance to the lowest polymorph of the same formula = 23 meV per atom
data_Ti2GeRh2
_symmetry_space_group_name_H-M 'C 1 2/m 1'
_symmetry_Int_Tables_number 12
_cell_length_a 8.8838
_cell_length_b 4.1797
_cell_length_c 5.3734
_cell_angle_alpha 90.00
_cell_angle_beta 127.07
_cell_angle_gamma 90.00
loop_
_symmetry_equiv_pos_as_xyz
'x,y,z'
'-x,-y,-z'
'-x,y,-z'
'x,-y,z'
'x+1/2,y+1/2,z'
'-x+1/2,-y+1/2,-z'
'-x+1/2,y+1/2,-z'
'x+1/2,-y+1/2,z'
loop_
_atom_site_label
_atom_site_type_symbol
_atom_site_fract_x
_atom_site_fract_y
_atom_site_fract_z
_atom_site_occupancy
Ti1 Ti 0.1970 0.0000 0.1973 1
Ge1 Ge 0.0000 0.0000 0.5000 1
Rh1 Rh 0.9997 0.5000 0.2370 1

=====

Entry 16:
# Ti4Ge5Rh2 | the Alexandria database | PBE | relaxed
# formation energy = -0.580 eV/atom
# crystal system = orthorhombic
data_Ti4Ge5Rh2
_symmetry_space_group_name_H-M 'I b a m'
_symmetry_Int_Tables_number 72
_symmetry_space_group_name_Hall '-I 2 2c'
_cell_length_a 7.8731
_cell_length_b 16.4180
_cell_length_c 5.3244
_cell_angle_alpha 90.00
_cell_angle_beta 90.00
_cell_angle_gamma 90.00
loop_
_atom_site_label
_atom_site_type_symbol
_atom_site_fract_x
_atom_site_fract_y
_atom_site_fract_z
_atom_site_occupancy
Ti1 Ti 0.1013 0.1395 0.0000 1
Ti2 Ti 0.2432 0.4361 0.0000 1
Ge1 Ge 0.0000 0.0000 0.2500 1
Ge2 Ge 0.0918 0.4274 0.5000 1
Ge3 Ge 0.2049 0.2151 0.5000 1
Rh1 Rh 0.0000 0.3031 0.2500 1

=====

Entry 17:
# Ti3Ge3Rh | the Alexandria database | PBE | relaxed
# formation energy = -0.462 eV/atom
# crystal system = hexagonal
data_Ti3Ge3Rh
_symmetry_space_group_name_H-M 'P 63/m'
_symmetry_Int_Tables_number 176
_symmetry_space_group_name_Hall '-P 6c'
_cell_length_a 7.2507
_cell_length_b 7.2507
_cell_length_c 4.9628
_cell_angle_alpha 90.00
_cell_angle_beta 90.00
_cell_angle_gamma 120.00
loop_
_atom_site_label
_atom_site_type_symbol
_atom_site_fract_x
_atom_site_fract_y
_atom_site_fract_z
_atom_site_occupancy
Ti1 Ti 0.0933 0.6444 0.2500 1
Ge1 Ge 0.0579 0.7886 0.7500 1
Rh1 Rh 0.3333 0.6667 0.7500 1

=====

Entry 18:
# Ti6GeRh12 | the Alexandria database | PBE | relaxed
# formation energy = -0.593 eV/atom
# crystal system = trigonal
data_Ti6GeRh12
_symmetry_space_group_name_H-M 'R -3'
_symmetry_Int_Tables_number 148
_symmetry_space_group_name_Hall '-R 3'
_cell_length_a 11.9578
_cell_length_b 11.9578
_cell_length_c 6.7668
_cell_angle_alpha 90.00
_cell_angle_beta 90.00
_cell_angle_gamma 120.00
loop_
_atom_site_label
_atom_site_type_symbol
_atom_site_fract_x
_atom_site_fract_y
_atom_site_fract_z
_atom_site_occupancy
Ti1 Ti 0.0233 0.7601 0.3473 1
Ge1 Ge 0.0000 0.0000 0.0000 1
Rh1 Rh 0.0104 0.8693 0.6641 1
Rh2 Rh 0.0658 0.5007 0.6667 1

=====

Entry 19:
# Ti5Ge4Rh | the Alexandria database | PBE | relaxed
# formation energy = -0.347 eV/atom
# crystal system = orthorhombic
data_Ti5Ge4Rh
_symmetry_space_group_name_H-M 'P m m n'
_symmetry_Int_Tables_number 59
_cell_length_a 8.2002
_cell_length_b 8.7871
_cell_length_c 4.6282
_cell_angle_alpha 90.00
_cell_angle_beta 90.00
_cell_angle_gamma 90.00
loop_
_symmetry_equiv_pos_as_xyz
'x,y,z'
'-x,-y,-z'
'-x+1/2,-y+1/2,z'
'x+1/2,y+1/2,-z'
'x+1/2,-y,-z'
'-x+1/2,y,z'
'-x,y+1/2,-z'
'x,-y+1/2,z'
loop_
_atom_site_label
_atom_site_type_symbol
_atom_site_fract_x
_atom_site_fract_y
_atom_site_fract_z
_atom_site_occupancy
Ti1 Ti 0.0794 0.0622 0.2307 1
Ti2 Ti 0.2500 0.2500 0.7150 1
Ge1 Ge 0.0591 0.7500 0.3942 1
Ge2 Ge 0.2500 0.5277 0.7203 1
Rh1 Rh 0.2500 0.7500 0.0106 1

=====

Entry 20:
# TiGeRh4 | the Alexandria database | PBE | relaxed
# formation energy = -0.367 eV/atom
# crystal system = tetragonal
data_TiGeRh4
_symmetry_space_group_name_H-M 'P 4/m m m'
_symmetry_Int_Tables_number 123
_symmetry_space_group_name_Hall '-P 4 2'
_cell_length_a 4.0800
_cell_length_b 4.0800
_cell_length_c 5.8617
_cell_angle_alpha 90.00
_cell_angle_beta 90.00
_cell_angle_gamma 90.00
loop_
_atom_site_label
_atom_site_type_symbol
_atom_site_fract_x
_atom_site_fract_y
_atom_site_fract_z
_atom_site_occupancy
Ti1 Ti 0.0000 0.0000 0.0000 1
Ge1 Ge 0.5000 0.5000 0.5000 1
Rh1 Rh 0.0000 0.5000 0.2530 1

=====

Number 1: magnetic moment 0.0 μB per formula unit. Number 2: magnetic moment 0.0 μB per formula unit. Number 3: magnetic moment 0.0 μB per formula unit. Number 4: magnetic moment 0.0 μB per formula unit. Number 5: magnetic moment 0.0 μB per formula unit. Number 6: magnetic moment 0.0 μB per formula unit. Number 7: magnetic moment 0.0 μB per formula unit. Number 8: magnetic moment 0.0 μB per formula unit. Number 9: magnetic moment 0.0 μB per formula unit. Number 10: magnetic moment 0.0 μB per formula unit. Number 11: magnetic moment 0.0 μB per formula unit. Number 12: magnetic moment 0.0 μB per formula unit. Number 13: magnetic moment 0.0 μB per formula unit. Number 14: magnetic moment 0.0 μB per formula unit. Number 15: magnetic moment 0.0 μB per formula unit. Number 16: magnetic moment 0.0 μB per formula unit. Number 17: magnetic moment 0.0 μB per formula unit. Number 18: magnetic moment 0.0 μB per formula unit. Number 19: magnetic moment 1.6 μB per formula unit. Number 20: magnetic moment 0.0 μB per formula unit.